AuClF4: relaxed, GGA-PBE.

The structure belongs to space group P-1 (No. 2); the cell edges are 6.0349, 6.1931 and 8.2713 Å and the angles 102.21°, 94.29° and 115.24°. The distinct sites, in fractional coordinates, are Au at (0.2278, 0.4052, 0.3987), Cl at (0.2735, 0.8307, 0.1684), F at (0.0817, 0.4468, 0.1956), F at (0.1068, 0.7997, 0.5728), F at (0.4010, 0.1182, 0.1411) and F at (0.4029, 0.3733, 0.6089).

The total energy comes out at -2.845 eV/atom. The magnetic moment comes out at 0.011 μB per atom.